Density functional theory data (PBE+U) for an optimized crystal structure of V3TeF.

Summary:
As for the excess energy over the best structure of this formula in the dataset: 0.00 eV/f.u.

extended XYZ file:
```
5
Lattice="4.638 0.000 0.000 0.000 4.638 0.000 0.000 0.000 4.638" Properties=species:S:1:pos:R:3 pbc="T T T"
V 2.319 0.000 0.000
V 0.000 0.000 2.319
V 0.000 2.319 0.000
Te 2.319 2.319 2.319
F 0.000 0.000 0.000
```